Material: AuCl3
Method: DFT, PBE-GGA
State: relaxed

Values from the calculation:
ΔE_f (raw) = 0.11 eV per atom
Density = 4.669 g cm⁻³
Total moment = 0.00 μB/f.u.

Unit cell a=4.0546 b=4.0546 c=22.7321 alpha=90.00 beta=90.00 gamma=120.00
Space group R-3m (No. 166, hexagonal axes)
One atom of each set of equivalent atoms:
Au1 0.0000 0.0000 0.0000 x3
Cl1 0.0000 0.0000 0.3962 x6
Cl2 0.0000 0.0000 0.5000 x3